Entry 1:
The following is a DFT calculation (PBE) of a relaxed HgPd3Au2 crystal.

```
HgPd3Au2
1.0
4.623 0.000 0.020
2.312 6.930 0.010
-0.029 0.000 6.438
Hg Pd Au
2 6 4
Direct
0.336 0.329 0.000
0.664 0.671 0.000
0.834 0.333 0.749
0.500 0.000 0.254
0.166 0.667 0.251
0.833 0.333 0.251
0.167 0.667 0.749
0.500 0.000 0.746
0.000 0.000 0.000
0.000 0.000 0.500
0.333 0.335 0.500
0.667 0.665 0.500
```

The space-group type is Cmmm (65). The calculation puts the total magnetization at 0.00 μB per formula unit. The energy above the most stable polymorph in this dataset is 0.0 kJ per mole of atoms. As for the formation energy from the elements: -12.13 kJ per mole of atoms. Its total energy is -3.86 eV/atom.



Entry 2:
The following is a DFT calculation (PBE) of a relaxed HgPd5Au crystal.

```
HgPd5Au
1.0
-2.694 1.308 3.923
-2.849 -1.818 -3.597
0.591 -5.077 2.098
Hg Pd Au
1 5 1
Direct
0.500 0.500 0.500
0.500 0.000 0.245
0.000 0.500 0.245
0.000 0.000 0.500
0.000 0.500 0.755
0.500 0.000 0.755
0.000 0.000 0.000
```

The space-group type is Cmmm (65). The calculation puts the total magnetization at 0.00 μB per formula unit. The energy above the most stable polymorph in this dataset is 0.0 kJ per mole of atoms. As for the formation energy from the elements: 1.62 kJ per mole of atoms. Its total energy is -4.20 eV/atom.



Entry 3:
The following is a DFT calculation (PBE) of a relaxed Hg2Pd3Au crystal.

```
Hg2Pd3Au
1.0
4.106 0.000 0.000
-2.053 7.516 -0.582
0.000 -4.069 7.214
Hg Pd Au
4 6 2
Direct
0.414 0.828 0.765
0.586 0.172 0.235
0.756 0.512 0.143
0.244 0.488 0.857
0.245 0.490 0.369
0.921 0.842 0.540
0.585 0.169 0.704
0.415 0.831 0.296
0.079 0.158 0.460
0.755 0.510 0.631
0.919 0.838 0.048
0.081 0.162 0.952
```

The space-group type is C2/m (12). The calculation puts the total magnetization at 0.00 μB per formula unit. The energy above the most stable polymorph in this dataset is 6.7 kJ per mole of atoms. As for the formation energy from the elements: -7.37 kJ per mole of atoms. Its total energy is -3.32 eV/atom.



Entry 4:
The following is a DFT calculation (PBE) of a relaxed HgPd3Au3 crystal.

```
HgPd3Au3
1.0
5.541 -0.341 -0.462
-1.598 5.317 -0.462
-1.598 -2.016 4.941
Hg Pd Au
1 3 3
Direct
0.044 0.044 0.044
0.543 0.043 0.043
0.043 0.043 0.543
0.043 0.543 0.043
0.543 0.543 0.042
0.543 0.042 0.543
0.042 0.543 0.543
```

The space-group type is R3m (160). The calculation puts the total magnetization at 0.00 μB per formula unit. As for the formation energy from the elements: -3.68 kJ per mole of atoms. Its total energy is -3.71 eV/atom.



Entry 5:
The following is a DFT calculation (PBE) of a relaxed HgPd5Au8 crystal.

```
HgPd5Au8
1.0
6.951 -0.047 0.080
-2.396 6.525 -0.080
-2.159 -3.322 5.712
Hg Pd Au
1 5 8
Direct
0.250 0.500 0.750
0.033 0.320 0.119
0.881 0.914 0.201
0.799 0.680 0.712
0.500 0.000 0.500
0.288 0.086 0.967
0.134 0.716 0.071
0.929 0.064 0.646
0.747 0.268 0.348
0.652 0.399 0.920
0.521 0.601 0.253
0.582 0.936 0.866
0.354 0.284 0.418
0.080 0.732 0.479
```

The space-group type is I-4 (82). The calculation puts the total magnetization at 0.00 μB per formula unit. As for the formation energy from the elements: 7.49 kJ per mole of atoms. Its total energy is -3.67 eV/atom.



Entry 6:
The following is a DFT calculation (PBE) of a relaxed Hg2Pd4Au crystal.

```
Hg2Pd4Au
1.0
5.147 -0.867 -2.341
-2.816 4.888 -0.951
-0.500 0.867 5.633
Hg Pd Au
2 4 1
Direct
0.500 0.500 0.000
0.500 0.000 0.500
0.500 0.000 0.000
0.500 0.500 0.500
0.000 0.000 0.500
0.000 0.500 0.000
0.000 0.000 0.000
```

The space-group type is I4/mmm (139). The calculation puts the total magnetization at 0.00 μB per formula unit. The energy above the most stable polymorph in this dataset is 1.6 kJ per mole of atoms. As for the formation energy from the elements: -2.46 kJ per mole of atoms. Its total energy is -3.55 eV/atom.



Entry 7:
The following is a DFT calculation (PBE) of a relaxed Hg2PdAu2 crystal.

```
Hg2PdAu2
1.0
-5.331 -4.220 3.058
4.573 -1.690 5.639
-1.225 2.897 1.862
Au Hg Pd
4 4 2
Direct
0.150 0.650 0.500
0.650 0.850 0.500
0.850 0.350 0.500
0.350 0.150 0.500
0.349 0.849 0.000
0.849 0.651 0.000
0.651 0.151 0.000
0.151 0.349 0.000
0.000 0.000 0.000
0.500 0.500 0.000
```

The space-group type is P4/mbm (127). The calculation puts the total magnetization at 0.00 μB per formula unit. The energy above the most stable polymorph in this dataset is 14.6 kJ per mole of atoms. As for the formation energy from the elements: 14.97 kJ per mole of atoms. Its total energy is -2.32 eV/atom.



Entry 8:
The following is a DFT calculation (PBE) of a relaxed HgPd2Au9 crystal.

```
HgPd2Au9
1.0
7.641 0.034 1.343
3.784 5.294 0.219
1.792 -2.339 5.813
Hg Pd Au
1 2 9
Direct
0.000 0.000 0.000
0.246 0.085 0.587
0.754 0.915 0.413
0.255 0.407 0.910
0.745 0.593 0.090
0.500 0.500 0.500
0.749 0.250 0.747
0.504 0.833 0.827
0.999 0.665 0.665
0.251 0.750 0.253
0.001 0.335 0.335
0.496 0.167 0.173
```

The space-group type is P-1 (2). The calculation puts the total magnetization at 0.00 μB per formula unit. As for the formation energy from the elements: -3.45 kJ per mole of atoms. Its total energy is -3.38 eV/atom.



Entry 9:
The following is a DFT calculation (PBE) of a relaxed Hg3Pd4Au4 crystal.

```
Hg3Pd4Au4
1.0
3.040 0.001 -0.263
-0.034 3.934 -0.494
-0.152 0.050 16.395
Hg Pd Au
3 4 4
Direct
0.638 0.638 0.276
0.362 0.362 0.724
0.000 0.000 0.000
0.546 0.545 0.092
0.454 0.455 0.908
0.818 0.818 0.635
0.182 0.182 0.365
0.090 0.089 0.180
0.272 0.272 0.544
0.728 0.728 0.456
0.910 0.911 0.820
```

The space-group type is P-1 (2). The calculation puts the total magnetization at 0.00 μB per formula unit. As for the formation energy from the elements: -8.70 kJ per mole of atoms. Its total energy is -3.25 eV/atom.



Entry 10:
The following is a DFT calculation (PBE) of a relaxed HgPd8Au2 crystal.

```
HgPd8Au2
1.0
-0.649 -3.200 -2.368
2.100 -3.870 4.654
-6.796 2.284 2.211
Hg Pd Au
1 8 2
Direct
0.500 0.000 0.000
0.590 0.456 0.179
0.318 0.091 0.635
0.137 0.181 0.273
0.046 0.724 0.091
0.863 0.819 0.727
0.682 0.909 0.365
0.410 0.544 0.821
0.954 0.276 0.909
0.227 0.639 0.453
0.773 0.361 0.547
```

The space-group type is C2/m (12). The calculation puts the total magnetization at 0.00 μB per formula unit. The energy above the most stable polymorph in this dataset is 0.0 kJ per mole of atoms. As for the formation energy from the elements: -7.25 kJ per mole of atoms. Its total energy is -4.48 eV/atom.



Entry 11:
The following is a DFT calculation (PBE) of a relaxed HgPd3Au4 crystal.

```
HgPd3Au4
1.0
-3.883 1.947 -2.007
-2.822 -2.407 3.126
3.680 4.853 3.292
Au Hg Pd
4 1 3
Direct
0.755 0.255 0.510
0.245 0.745 0.490
0.374 0.373 0.747
0.626 0.627 0.253
0.500 0.000 0.000
0.000 0.500 0.000
0.875 0.876 0.751
0.125 0.124 0.249
```

The space-group type is Immm (71). The calculation puts the total magnetization at 0.00 μB per formula unit. The energy above the most stable polymorph in this dataset is 3.1 kJ per mole of atoms. As for the formation energy from the elements: -5.47 kJ per mole of atoms. Its total energy is -3.68 eV/atom.



Which formula does entry 9 have? Hg3Pd4Au4



Look up the formation energy from the elements of the third one. -7.37 kJ per mole of atoms



Look up the total magnetization of the third one. 0.00 μB per formula unit



What is the formation energy from the elements in the tenth record? -7.25 kJ per mole of atoms